KZr2Rh after structural relaxation. Source: Alexandria, functional PBE.

CIF file:
```
data_KZr2Rh
_chemical_formula_sum 'K3 Zr6 Rh3'
_space_group_name_H-M_alt 'R 3 m'
_space_group_IT_number 160
_space_group_name_Hall 'R 3 -2"'
_cell_length_a 3.2854
_cell_length_b 3.2854
_cell_length_c 31.5692
_cell_angle_alpha 90.00
_cell_angle_beta 90.00
_cell_angle_gamma 120.00
loop_
_atom_site_label
_atom_site_type_symbol
_atom_site_fract_x
_atom_site_fract_y
_atom_site_fract_z
K1 K 0.0000 0.0000 0.0000
Zr1 Zr 0.0000 0.0000 0.2229
Zr2 Zr 0.0000 0.0000 0.4764
Rh1 Rh 0.0000 0.0000 0.7513
```

Properties
formation enthalpy at 0 K = 153 meV/atom
final energy = -0.2291 Ha/atom